[1]
## LaSi4 (PBE-GGA)

Data for a geometry-optimized LaSi4 structure.

```
5
Lattice="5.4311 0.0000 0.0000 0.0000 5.4311 0.0000 0.0000 0.0000 5.4311" Properties=species:S:1:pos:R:3 pbc="T T T"
Si 0.0000 2.7155 2.7155
Si 0.0000 0.0000 0.0000
La 2.7155 2.7155 2.7155
Si 2.7155 2.7155 0.0000
Si 2.7155 0.0000 2.7155
```

theoretical density	2.60	g/cm³
E_form (uncorrected)	1.670	eV/atom
V	32.04	Å³ per atom
SG	No. 221

[2]
## La3Si (PBE-GGA)

Data for a geometry-optimized La3Si structure.

```
8
Lattice="-5.1405 3.4623 -0.4864 -3.0670 -4.0502 3.5831 1.6787 3.2027 5.0571" Properties=species:S:1:pos:R:3 pbc="T T T"
La -1.3112 4.1332 3.5496
La -1.4609 -1.4363 5.2159
La 0.0726 0.5888 3.4243
La -5.3889 0.5717 1.4268
La -2.1506 2.5318 1.0211
Si -3.2644 1.3074 4.0769
La -2.8186 -1.1595 1.6700
Si 0.0000 0.0000 0.0000
```

theoretical density	6.15	g/cm³
E_form (uncorrected)	-0.157	eV/atom
V	30.03	Å³ per atom
SG	No. 223

[3]
## La8Si (PBE-GGA)

Data for a geometry-optimized La8Si structure.

```
9
Lattice="0.9933 -1.4426 7.9501 -1.5656 5.7441 -5.5521 -7.3091 -3.5489 -0.5037" Properties=species:S:1:pos:R:3 pbc="T T T"
La -5.2782 -0.9716 0.4832
La -0.6765 3.2470 -0.8605
La -1.9845 -1.5684 2.3398
La -2.6032 1.7242 1.4111
La -2.7886 0.6898 -1.9028
Si 0.0000 0.0000 0.0000
La 0.1042 1.0545 3.2585
La -6.0861 1.5054 -4.1529
La -4.3312 -3.4231 5.1066
```

theoretical density	6.35	g/cm³
E_form (uncorrected)	-0.057	eV/atom
V	33.12	Å³ per atom
SG	No. 139

[4]
## LaSi5 (PBE-GGA)

Data for a geometry-optimized LaSi5 structure.

```
6
Lattice="2.6942 -4.6665 0.0000 2.6942 4.6665 0.0000 0.0000 0.0000 4.2062" Properties=species:S:1:pos:R:3 pbc="T T T"
Si 2.6942 1.5555 2.1031
La 0.0000 0.0000 2.1031
Si 1.3471 2.3333 0.0000
Si 1.3471 -2.3333 0.0000
Si 2.6942 -1.5555 2.1031
Si 2.6942 0.0000 0.0000
```

theoretical density	4.39	g/cm³
E_form (uncorrected)	0.000	eV/atom
V	17.63	Å³ per atom
SG	No. 191

[5]
## La5Si4 (PBE-GGA)

Data for a geometry-optimized La5Si4 structure.

```
36
Lattice="8.0353 0.0000 0.0000 0.0000 8.0353 0.0000 0.0000 0.0000 15.5468" Properties=species:S:1:pos:R:3 pbc="T T T"
La 0.9653 4.1071 12.4794
La 3.0524 0.0894 6.9542
La 7.9459 4.9829 0.8192
La 7.8681 1.0080 1.9242
La 5.0257 4.1849 13.5843
La 1.5499 6.4855 3.8867
Si 5.5848 2.6466 0.7105
Si 6.3411 4.6603 10.7389
Si 6.6642 6.4682 12.3706
La 2.4678 2.4678 0.0000
La 7.0700 3.9283 4.7059
La 3.8504 3.0097 9.7360
Si 1.6943 3.3750 2.9655
Si 6.4682 6.6642 3.1762
La 0.0894 3.0524 8.5927
Si 1.5671 1.3711 10.9496
Si 2.6466 5.5848 14.8363
La 4.9829 7.9459 14.7276
La 0.1673 7.0273 9.6976
Si 1.3711 1.5671 4.5972
La 3.9283 7.0700 10.8409
Si 7.3927 2.3234 14.6256
Si 3.3750 1.6943 12.5814
La 3.0097 3.8504 5.8109
Si 2.3234 7.3927 0.9212
La 7.0273 0.1673 5.8493
Si 5.7119 0.6427 8.6947
La 6.4855 1.5499 11.6601
La 1.0080 7.8681 13.6227
La 5.5675 5.5675 7.7734
La 4.1071 0.9653 3.0675
Si 0.6427 5.7119 6.8522
Si 4.6603 6.3411 4.8079
Si 5.3888 2.4505 7.0629
Si 2.4505 5.3888 8.4839
La 4.1849 5.0257 1.9626
```

theoretical density	5.34	g/cm³
E_form (uncorrected)	-0.691	eV/atom
V	27.88	Å³ per atom
SG	No. 92

[6]
## La3Si (PBE-GGA)

Data for a geometry-optimized La3Si structure.

```
16
Lattice="6.4625 0.0000 0.0000 0.0000 8.0735 0.0000 0.0000 0.0000 9.6430" Properties=species:S:1:pos:R:3 pbc="T T T"
Si 3.7569 7.0819 7.2323
La 4.0002 1.4623 9.1435
La 5.6936 5.4991 9.1435
La 4.0002 1.4623 5.3211
La 2.4229 4.2513 7.2323
Si 5.9369 3.0451 7.2323
La 5.6936 5.4991 5.3211
La 0.8084 0.2145 7.2323
Si 0.5256 5.0284 2.4108
La 0.7689 2.5745 4.3220
La 2.4623 6.6112 0.4995
La 4.0397 3.8222 2.4108
Si 2.7056 0.9916 2.4108
La 0.7689 2.5745 0.4995
La 2.4623 6.6112 4.3220
La 5.6541 7.8590 2.4108
```

theoretical density	5.87	g/cm³
E_form (uncorrected)	-0.393	eV/atom
V	31.45	Å³ per atom
SG	No. 62

[7]
## La3Si (PBE-GGA)

Data for a geometry-optimized La3Si structure.

```
4
Lattice="5.8189 0.0460 0.0000 -1.6832 5.5703 0.0000 0.0000 0.0000 3.5575" Properties=species:S:1:pos:R:3 pbc="T T T"
La 2.0678 2.8081 0.0000
La -0.8416 2.7852 1.7788
Si 0.0000 0.0000 0.0000
La 2.9095 0.0230 1.7788
```

theoretical density	6.39	g/cm³
E_form (uncorrected)	-0.114	eV/atom
V	28.90	Å³ per atom
SG	No. 65

[8]
## La3Si2 (PBE-GGA)

Data for a geometry-optimized La3Si2 structure.

```
10
Lattice="7.9223 0.0000 0.0000 0.0000 7.9223 0.0000 0.0000 0.0000 4.4355" Properties=species:S:1:pos:R:3 pbc="T T T"
La 5.3558 6.5277 2.2178
La 3.9612 3.9612 0.0000
La 6.5277 2.5665 2.2178
La 2.5665 1.3947 2.2178
La 1.3947 5.3558 2.2178
Si 4.8265 0.8654 0.0000
Si 7.0569 4.8265 0.0000
Si 3.0958 7.0569 0.0000
La 0.0000 0.0000 0.0000
Si 0.8654 3.0958 0.0000
```

theoretical density	5.64	g/cm³
E_form (uncorrected)	-0.638	eV/atom
V	27.84	Å³ per atom
SG	No. 127

[9]
## La2Si3 (PBE-GGA)

Data for a geometry-optimized La2Si3 structure.

```
5
Lattice="-0.4767 1.2502 -7.6761 4.1011 -2.1770 -6.2573 -3.6762 -1.7931 6.6319" Properties=species:S:1:pos:R:3 pbc="T T T"
Si 1.2908 -2.2608 -3.9585
Si 1.8801 -2.4115 -6.2237
Si 0.7428 -0.1899 -2.8557
La -0.7157 -0.6194 -5.7534
La 2.2686 -0.5801 -8.7213
```

theoretical density	4.81	g/cm³
E_form (uncorrected)	-0.647	eV/atom
V	24.97	Å³ per atom
SG	No. 44

[10]
## LaSi23 (PBE-GGA)

Data for a geometry-optimized LaSi23 structure.

```
48
Lattice="10.2277 0.0000 0.0000 0.0000 10.2277 0.0000 0.0000 0.0000 10.2277" Properties=species:S:1:pos:R:3 pbc="T T T"
Si 8.3466 1.8811 8.3466
Si 3.2328 3.2328 3.2328
Si 8.3466 8.3466 8.3466
Si 8.3466 8.3466 1.8811
Si 7.6708 0.0000 5.1138
Si 5.1138 3.9289 1.9596
Si 3.9289 8.2681 5.1138
Si 1.8811 8.3466 8.3466
Si 6.2988 8.2681 5.1138
Si 6.9949 3.2328 3.2328
Si 8.2681 5.1138 6.2988
La 5.1138 5.1138 5.1138
Si 1.1849 0.0000 3.1543
Si 3.9289 1.9596 5.1138
Si 5.1138 3.9289 8.2681
Si 3.1543 1.1849 0.0000
Si 6.9949 6.9949 6.9949
Si 6.2988 1.9596 5.1138
Si 1.8811 1.8811 8.3466
Si 3.2328 6.9949 6.9949
Si 8.3466 1.8811 1.8811
Si 1.8811 8.3466 1.8811
Si 9.0428 0.0000 3.1543
Si 6.9949 3.2328 6.9949
Si 0.0000 3.1543 9.0428
Si 0.0000 5.1138 2.5569
Si 9.0428 0.0000 7.0734
Si 0.0000 3.1543 1.1849
Si 0.0000 7.0734 9.0428
Si 6.9949 6.9949 3.2328
Si 5.1138 7.6708 0.0000
Si 2.5569 0.0000 5.1138
Si 3.2328 3.2328 6.9949
Si 5.1138 6.2988 1.9596
Si 5.1138 2.5569 0.0000
Si 0.0000 7.0734 1.1849
Si 1.8811 1.8811 1.8811
Si 7.0734 9.0428 0.0000
Si 3.1543 9.0428 0.0000
La 0.0000 0.0000 0.0000
Si 3.2328 6.9949 3.2328
Si 1.1849 0.0000 7.0734
Si 1.9596 5.1138 6.2988
Si 1.9596 5.1138 3.9289
Si 7.0734 1.1849 0.0000
Si 5.1138 6.2988 8.2681
Si 8.2681 5.1138 3.9289
Si 0.0000 5.1138 7.6708
```

theoretical density	2.44	g/cm³
E_form (uncorrected)	0.034	eV/atom
V	22.29	Å³ per atom
SG	No. 223

[11]
## La2Si3 (PBE-GGA)

Data for a geometry-optimized La2Si3 structure.

```
10
Lattice="-2.7765 3.5457 -0.2885 -1.8390 -1.6992 -3.1843 -6.7594 -7.5204 7.9166" Properties=species:S:1:pos:R:3 pbc="T T T"
La -5.1314 -0.9681 2.1918
Si -10.5268 -4.9752 4.8695
Si -7.1946 -2.4236 4.1600
La -6.2435 -4.7058 2.2520
Si -8.9979 -3.8966 3.4110
La -3.8808 -0.2869 -1.4705
La -7.4941 -5.3870 5.9143
Si -4.1803 -3.2503 0.2838
Si -0.8480 -0.6987 -0.4257
Si -2.3769 -1.7772 1.0328
```

theoretical density	5.20	g/cm³
E_form (uncorrected)	-0.707	eV/atom
V	23.11	Å³ per atom
SG	No. 63

[12]
## La3Si (PBE-GGA)

Data for a geometry-optimized La3Si structure.

```
4
Lattice="6.7277 0.0041 -0.0025 3.4634 5.7677 0.0025 -4.6932 -3.5964 3.2097" Properties=species:S:1:pos:R:3 pbc="T T T"
La -0.6149 1.0856 1.6061
Si 1.0173 -1.7962 1.6036
La 7.1391 4.0433 0.0000
La 3.0520 1.7285 0.0000
```

theoretical density	5.93	g/cm³
E_form (uncorrected)	-0.288	eV/atom
V	31.13	Å³ per atom
SG	No. 71

| no. | Fermi-level density of states (states/eV per cell) |
| --- | --- |
| 1 | 6.575 |
| 2 | 12.661 |
| 3 | 15.717 |
| 4 | 2.008 |
| 5 | 37.456 |
| 6 | 20.154 |
| 7 | 5.698 |
| 8 | 10.690 |
| 9 | 1.680 |
| 10 | 17.249 |
| 11 | 7.243 |
| 12 | 4.684 |